Record 1
Crystalline TaP at its relaxed geometry, computed with PBE-GGA.

POSCAR file:
```
TaP
1.0
0.062 -1.882 3.463
1.734 1.671 3.120
-2.189 1.320 3.000
P Ta
1 1
Cartesian
0.000 0.000 0.000
-0.098 0.277 2.396
```

Calculated values
VASP energy   -17.06 eV for the cell shown
ΔE_f   0.0988 eV/atom
M_tot   0.00 μB/atom
SG   F-43m (216)



Record 2
Crystalline LaPa4O10 at its relaxed geometry, computed with PBE-GGA.

POSCAR file:
```
LaPa4O10
1.0
-1.409 -2.345 2.780
0.218 -3.872 -0.419
13.762 -2.053 7.979
Pa O La
4 10 1
Cartesian
2.070 -4.141 3.028
10.502 -4.129 7.311
5.284 -2.065 3.672
7.288 -6.205 6.667
8.368 -4.132 6.228
1.126 -6.214 3.537
3.217 -2.067 2.623
7.386 -2.062 4.740
9.355 -6.203 7.717
4.203 -4.138 4.112
5.186 -6.208 5.600
11.446 -2.056 6.803
12.463 -4.127 8.308
0.109 -4.143 2.032
0.000 0.000 0.000
```

Calculated values
VASP energy   -146.87 eV for the cell shown
Raw formation energy   -3.62 eV/atom
M_tot   0.19 μB/atom
SG   R-3m (166)



Record 3
Crystalline CsCuSb at its relaxed geometry, computed with PBE-GGA.

POSCAR file:
```
CsCuSb
1.0
-1.338 -4.383 -1.009
4.494 -1.265 -0.465
0.312 -2.120 8.791
Cs Sb Cu
2 2 2
Cartesian
-0.615 -2.554 0.999
2.506 -2.390 7.056
-0.469 -3.550 5.131
2.359 -1.393 2.924
1.735 -3.884 3.659
0.156 -1.060 4.396
```

Calculated values
VASP energy   -19.11 eV for the cell shown
Raw formation energy   -0.16 eV/atom
M_tot   0.00 μB/atom
SG   P4/nmm (129)



The highest M_tot belongs to which entry?
LaPa4O10